The following is a DFT calculation (GGA+U) of VPb2WO6 after structural relaxation.

a = 5.771 Å, b = 5.723 Å, c = 8.031 Å
α = 90.00°, β = 89.79°, γ = 90.00°
Atoms (fractional coordinates):
O1 0.250 0.248 0.034
O2 0.750 0.752 0.966
O3 0.448 0.000 0.739
O4 0.250 0.748 0.466
Pb1 0.017 0.999 0.252
O5 0.745 0.253 0.966
Pb2 0.517 0.501 0.752
V1 0.000 0.500 0.500
W1 0.500 0.000 0.500
O6 0.750 0.252 0.534
Pb3 0.483 0.499 0.248
O7 0.755 0.753 0.534
O8 0.255 0.747 0.034
V2 0.500 0.000 0.000
O9 0.245 0.247 0.466
W2 0.000 0.500 0.000
O10 0.052 0.500 0.761
O11 0.552 0.000 0.261
Pb4 0.983 0.001 0.748
O12 0.948 0.500 0.239

Computed properties:
The calculation puts the electronic total energy at -6.876 eV/atom. The calculation puts the spin magnetization at 6.00 Bohr magnetons per cell. Its space group is P2_1/c.